This record from Alexandria via LeMat-Bulk describes a relaxed NiAg2AsO4 crystal. The functional is PBE with a Hubbard U.

Its space group is P1. As for the density of states at the Fermi level: 1.58 states/eV/cell. For the total DFT energy (no corrections), the calculation gives -4.746 eV per atom. The calculation puts the magnetization at 1.6 μB per formula unit.

Cell: 5.9129 5.1868 5.3366 Å, 120.46 122.57 87.86°
Closest atoms and distances in Å follow each position.
Element x y z (fractional)
Ni 0.0384 0.5167 0.0803  4 O 2.01-2.06
Ag 0.2893 0.2670 0.4893  3 O 2.50-2.76
Ag 0.4256 0.9350 0.8863  4 O 2.44-2.55
O 0.9832 0.0807 0.6866  1 As 1.74
O 0.3933 0.7632 0.2285  1 As 1.76
O 0.7586 0.4190 0.1523  1 As 1.75
O 0.7660 0.6707 0.7780  1 As 1.73
As 0.7326 0.7349 0.4727  4 O 1.73-1.76